First-principles (PBE-GGA) data for a relaxed SrH12Cl2O6 crystal, as listed in the Alexandria database.

* crystal system: trigonal
* volume: 11.1 Å³/atom
* calculated total energy: -101.746 eV for the cell shown
* space-group type: P321 (150)

Unit cell a=8.006 b=8.006 c=4.192 alpha=90.00 beta=90.00 gamma=120.00
Element x y z (fractional)
Sr 0.000 0.000 0.000
H 0.098 0.654 0.902
H 0.113 0.355 0.490
H 0.243 0.887 0.490
H 0.346 0.443 0.902
H 0.355 0.113 0.510
H 0.443 0.346 0.098
H 0.557 0.902 0.902
H 0.645 0.757 0.490
H 0.654 0.098 0.098
H 0.757 0.645 0.510
H 0.887 0.243 0.510
H 0.902 0.557 0.098
Cl 0.333 0.667 0.607
Cl 0.667 0.333 0.393
O 0.000 0.223 0.500
O 0.000 0.678 0.000
O 0.223 0.000 0.500
O 0.322 0.322 0.000
O 0.678 0.000 0.000
O 0.777 0.777 0.500